1.
! MnCdRu2 GGA-PBE optimized geometry; values from VASP
&SYSTEM
  ibrav = 0, nat = 4, ntyp = 3
/
ATOMIC_SPECIES
Ru 101.07 Ru.upf
Mn 54.94 Mn.upf
Cd 112.41 Cd.upf
CELL_PARAMETERS angstrom
4.834 -0.022 -0.006
4.023 2.680 -0.006
1.167 0.350 4.644
ATOMIC_POSITIONS crystal
Ru 0.022 0.022 0.966
Ru 0.478 0.478 0.534
Mn 0.750 0.750 0.750
Cd 0.250 0.250 0.250
! uncorrected energy = -6.89 eV per atom
! volume = 15.15 Å³ per atom



2.
! InSn2BiTe4 GGA-PBE optimized geometry; values from VASP
&SYSTEM
  ibrav = 0, nat = 8, ntyp = 4
/
ATOMIC_SPECIES
Te 127.60 Te.upf
Sn 118.71 Sn.upf
Bi 208.98 Bi.upf
In 114.82 In.upf
CELL_PARAMETERS angstrom
-6.126 1.914 0.050
-0.665 -2.283 5.962
5.185 5.847 -0.637
ATOMIC_POSITIONS crystal
Te 0.999 0.499 0.997
Te 0.248 0.248 0.496
Te 0.752 0.752 0.504
Te 0.501 0.001 0.003
Sn 0.000 0.000 0.000
Sn 0.250 0.750 0.500
Bi 0.750 0.250 0.500
In 0.500 0.500 0.000
! uncorrected energy = -3.64 eV per atom
! volume = 32.92 Å³ per atom
! energy relative to the elements, uncorrected = -0.241 eV per atom